This record from Alexandria describes SrCoPdPb2 at its PBEsol-relaxed geometry. The functional is meta-GGA SCAN.

Cell lengths 4.921, 5.935, 5.935 Å; angles 90.00, 90.00, 90.00 degrees
Element x y z (fractional)
Sr 0.000 0.000 0.000
Co 0.500 0.500 0.500
Pb 0.000 0.000 0.500
Pb 0.000 0.500 0.000
Pd 0.500 0.000 0.000

D(E_F)	3.4	states/eV/cell
ΔH_f (0 K)	1336	meV per atom
crystal system	tetragonal
DFT total energy	-43.45	eV per atom
total magnetic moment	2.1	μB per cell